# 1
The following is a PBE calculation of an optimized crystal structure of PdS4Br2, from Alexandria.

extended XYZ file:
```
14
Lattice="-9.507 2.488 12.975 -0.479 -0.980 9.911 -0.876 5.275 8.419" Properties=species:S:1:pos:R:3 pbc="T T T"
Br -8.691 4.564 19.733
Br -3.992 4.120 13.059
Br -9.251 5.590 24.679
Br -4.560 5.368 17.949
S -9.366 6.661 19.014
S -4.387 1.859 13.379
S -0.695 0.189 11.395
S -6.937 2.068 16.705
S -7.199 2.784 11.215
S -2.933 4.193 19.093
S -5.453 1.436 17.883
S -2.955 1.057 14.525
Pd -9.614 1.570 22.406
Pd -4.944 1.603 15.615
```

Calculated values
crystal system: triclinic

# 2
The following is a PBE calculation of an optimized crystal structure of PdS2Br2, from Alexandria.

extended XYZ file:
```
10
Lattice="-1.480 -0.401 -6.940 7.019 0.291 -1.725 -7.661 -6.005 2.303" Properties=species:S:1:pos:R:3 pbc="T T T"
Pd 0.587 -4.687 -0.097
Pd -2.710 -1.428 -6.266
Br -2.665 -2.728 -0.353
Br -5.496 -4.718 -0.602
Br 3.374 -1.396 -5.760
Br 0.542 -3.387 -6.010
S -2.179 -5.201 -5.105
S -7.812 -6.194 -2.003
S 5.690 0.079 -4.359
S 0.056 -0.913 -1.257
```

Calculated values
crystal system: triclinic

# 3
The following is a PBE calculation of an optimized crystal structure of PdSBr, from Alexandria.

extended XYZ file:
```
6
Lattice="-4.212 -0.785 1.679 3.138 -4.165 3.913 0.607 1.890 5.012" Properties=species:S:1:pos:R:3 pbc="T T T"
Br -1.405 -1.398 3.964
Br 0.937 -1.662 6.640
S 0.072 -3.116 9.771
S -0.539 0.056 0.833
Pd 0.674 -2.913 4.266
Pd -1.142 -0.147 6.338
```

Calculated values
crystal system: triclinic

# 4
The following is a PBE calculation of an optimized crystal structure of PdSBr, from Alexandria.

extended XYZ file:
```
3
Lattice="3.964 0.005 0.002 -1.876 3.459 -0.030 -0.170 -2.264 5.477" Properties=species:S:1:pos:R:3 pbc="T T T"
S -0.582 -0.315 4.858
Br 3.416 -0.332 2.382
Pd 1.400 0.852 5.251
```

Calculated values
crystal system: triclinic

# 5
The following is a PBE calculation of an optimized crystal structure of PdSBr2, from Alexandria.

extended XYZ file:
```
4
Lattice="-2.475 -11.201 3.416 -2.659 -11.662 0.436 0.017 -11.828 1.828" Properties=species:S:1:pos:R:3 pbc="T T T"
Br -0.348 -2.360 0.386
Br -4.769 -32.330 5.294
S -2.559 -17.345 2.840
Pd 0.000 0.000 0.000
```

Calculated values
crystal system: trigonal

# 6
The following is a PBE calculation of an optimized crystal structure of PdSBr, from Alexandria.

extended XYZ file:
```
6
Lattice="-1.624 0.900 -2.894 -2.470 -1.840 0.814 -5.718 10.543 6.488" Properties=species:S:1:pos:R:3 pbc="T T T"
Br -4.771 8.797 5.413
Br -3.959 3.055 1.129
S -5.371 5.658 2.731
S -0.465 0.857 0.527
Pd -6.362 10.683 4.850
Pd -3.926 4.041 3.460
```

Calculated values
crystal system: orthorhombic

# 7
The following is a PBE calculation of an optimized crystal structure of Pd2S4Br3, from Alexandria.

extended XYZ file:
```
18
Lattice="-0.098 -8.885 2.308 8.922 2.077 -0.614 -0.527 2.149 6.438" Properties=species:S:1:pos:R:3 pbc="T T T"
S 8.079 -1.635 0.974
S 4.956 1.339 2.490
S 0.554 -2.525 5.235
S 4.078 0.364 0.960
S 0.218 -3.024 7.159
S 4.219 -5.023 7.173
S 7.743 -2.135 2.898
S 3.342 -5.998 5.642
Br -0.061 0.013 3.784
Br 8.358 -4.672 4.349
Br 1.187 0.135 0.246
Br 3.848 -3.392 2.597
Br 7.111 -4.794 7.886
Br 4.449 -1.267 5.536
Pd 2.239 -2.004 6.763
Pd 6.058 -2.655 1.370
Pd 3.946 -3.828 5.188
Pd 4.351 -0.831 2.945
```

Calculated values
crystal system: monoclinic

# 8
The following is a PBE calculation of an optimized crystal structure of PdS4Br, from Alexandria.

extended XYZ file:
```
12
Lattice="6.305 4.475 2.474 9.406 14.903 6.607 6.311 6.010 10.813" Properties=species:S:1:pos:R:3 pbc="T T T"
S 8.582 7.380 7.348
S 4.690 4.104 2.439
S 17.332 21.285 17.455
S 11.972 13.041 9.825
S 10.050 12.347 10.069
S 13.440 18.008 12.547
S 11.793 11.928 13.360
S 10.230 13.461 6.534
Br 10.218 10.005 9.116
Br 11.804 15.383 10.778
Pd 6.906 7.413 8.939
Pd 15.116 17.976 10.955
```

Calculated values
crystal system: triclinic

# 9
The following is a PBE calculation of an optimized crystal structure of PdSBr2, from Alexandria.

extended XYZ file:
```
4
Lattice="0.492 -2.559 4.112 -2.890 0.929 3.805 -3.425 -3.207 1.295" Properties=species:S:1:pos:R:3 pbc="T T T"
Br -4.368 -3.628 6.909
Br -1.456 -1.209 2.303
S 0.000 0.000 0.000
Pd -2.912 -2.419 4.606
```

Calculated values
crystal system: cubic

# 10
The following is a PBE calculation of an optimized crystal structure of PdSBr2, from Alexandria.

extended XYZ file:
```
8
Lattice="5.080 0.000 0.000 0.000 5.080 0.000 2.540 2.540 7.779" Properties=species:S:1:pos:R:3 pbc="T T T"
Pd 0.000 0.000 0.000
Pd 5.080 2.540 3.889
S 2.540 5.080 3.889
S 2.540 2.540 0.000
Br 3.811 1.270 1.945
Br 6.350 6.351 5.834
Br 3.810 3.809 5.834
Br 1.269 3.810 1.945
```

Calculated values
crystal system: tetragonal

# 11
The following is a PBE calculation of an optimized crystal structure of PdSBr4, from Alexandria.

extended XYZ file:
```
12
Lattice="6.946 0.887 0.715 1.934 6.473 2.820 0.593 0.041 9.001" Properties=species:S:1:pos:R:3 pbc="T T T"
Pd 3.927 6.366 8.329
Pd 5.547 1.035 4.208
Br 6.544 3.357 3.301
Br 6.373 5.283 7.974
Br 2.828 0.835 7.880
Br 2.980 5.524 5.991
Br 3.101 2.117 4.563
Br 2.929 4.044 9.236
Br 6.645 6.565 4.657
Br 6.494 1.876 6.546
S 2.953 3.076 7.045
S 6.520 4.324 5.492
```

Calculated values
crystal system: monoclinic

# 12
The following is a PBE calculation of an optimized crystal structure of PdSBr, from Alexandria.

extended XYZ file:
```
6
Lattice="3.476 0.000 0.000 1.683 6.664 0.000 0.659 3.301 7.188" Properties=species:S:1:pos:R:3 pbc="T T T"
Br 1.729 4.334 6.209
Br 2.753 7.660 3.564
Pd 4.490 6.007 2.864
Pd 5.149 9.334 6.882
S 2.753 4.572 0.180
S 2.753 4.555 2.353
```

Calculated values
crystal system: triclinic

# 13
The following is a PBE calculation of an optimized crystal structure of PdSBr, from Alexandria.

extended XYZ file:
```
3
Lattice="3.658 0.000 0.000 -1.829 3.168 0.000 0.000 0.000 5.505" Properties=species:S:1:pos:R:3 pbc="T T T"
Br 0.000 0.000 0.341
Pd 1.829 1.056 2.001
S 0.000 2.112 3.163
```

Calculated values
crystal system: trigonal

# 14
The following is a PBE calculation of an optimized crystal structure of PdSe2S2Br2, from Alexandria.

extended XYZ file:
```
7
Lattice="4.804 0.000 0.000 2.402 6.616 0.896 2.402 2.300 6.571" Properties=species:S:1:pos:R:3 pbc="T T T"
S 4.804 6.748 6.659
S 4.804 2.168 0.808
Se 2.402 2.510 1.370
Se 7.207 6.406 6.097
Pd 0.000 0.000 0.000
Br 4.804 2.573 4.783
Br 4.804 6.344 2.684
```

Calculated values
crystal system: monoclinic

# 15
The following is a PBE calculation of an optimized crystal structure of PdSe2SBr, from Alexandria.

extended XYZ file:
```
5
Lattice="-0.097 3.964 2.961 -4.943 0.052 -0.231 -0.218 -2.983 3.986" Properties=species:S:1:pos:R:3 pbc="T T T"
Pd 0.000 0.000 0.000
Br -0.109 -1.491 1.993
Se -0.048 1.982 1.481
Se -2.472 0.026 -0.115
S -2.629 0.517 3.358
```

Calculated values
energy above the lowest structure with this stoichiometry: 0 meV per atom
crystal system: tetragonal

# 16
The following is a PBE calculation of an optimized crystal structure of PdSe2SBr, from Alexandria.

extended XYZ file:
```
5
Lattice="-2.899 2.341 3.201 -3.369 -3.545 -0.458 2.077 -2.448 3.672" Properties=species:S:1:pos:R:3 pbc="T T T"
S 0.000 0.000 0.000
Br 1.039 -1.224 1.836
Se -1.449 1.171 1.600
Se -1.685 -1.773 -0.229
Pd -2.095 -1.826 3.208
```

Calculated values
energy above the lowest structure with this stoichiometry: 57 meV per atom
crystal system: tetragonal

# 17
The following is a PBE calculation of an optimized crystal structure of Sr6Pd2SBr3, from Alexandria.

extended XYZ file:
```
12
Lattice="7.660 -0.004 0.002 -3.831 6.632 0.002 -1.275 -2.207 7.790" Properties=species:S:1:pos:R:3 pbc="T T T"
Br -2.638 4.472 3.897
Br 5.192 -0.050 3.897
Br 1.277 2.211 3.897
Sr 2.546 -0.004 1.641
Sr 3.830 2.218 6.154
Sr 0.007 4.426 6.154
Sr 0.002 0.003 6.159
Sr 2.552 4.419 1.635
Sr -1.276 2.204 1.641
Pd -0.010 4.425 0.002
Pd 3.838 2.203 0.002
S 0.000 0.000 0.000
```

Calculated values
crystal system: monoclinic

# 18
The following is a PBE calculation of an optimized crystal structure of SrPdS2Br, from Alexandria.

extended XYZ file:
```
5
Lattice="-0.222 1.911 -4.418 -5.127 -0.093 0.218 0.001 4.423 1.913" Properties=species:S:1:pos:R:3 pbc="T T T"
Sr -2.674 3.121 -1.144
S -0.111 0.956 -2.209
S 0.001 2.211 0.957
Pd 0.000 0.000 0.000
Br -2.564 -0.046 0.109
```

Calculated values
crystal system: tetragonal

# 19
The following is a PBE calculation of an optimized crystal structure of U2PdS4Br, from Alexandria.

extended XYZ file:
```
8
Lattice="-1.416 -1.655 -3.229 3.141 -5.107 -1.109 -4.935 -6.392 3.090" Properties=species:S:1:pos:R:3 pbc="T T T"
S 0.819 -5.023 -2.483
S -2.380 -3.490 -1.866
S -4.029 -8.130 1.235
S -0.831 -9.663 0.618
U -3.021 -9.510 -0.849
U -0.189 -3.643 -0.399
Pd 0.000 0.000 0.000
Br -1.605 -6.576 -0.624
```

Calculated values
crystal system: monoclinic

# 20
The following is a PBE calculation of an optimized crystal structure of Zr2PdSBr, from Alexandria.

extended XYZ file:
```
5
Lattice="-4.823 0.181 1.260 -0.086 -4.791 0.360 1.270 0.339 4.812" Properties=species:S:1:pos:R:3 pbc="T T T"
Zr -2.412 0.091 0.630
Zr 0.635 0.169 2.406
Pd -1.820 -2.135 3.216
S -0.043 -2.395 0.180
Br 0.000 0.000 0.000
```

Calculated values
crystal system: tetragonal

no.,electronic total energy (Ry per atom),E_form (uncorrected) (eV per atom),total moment (μB/atom)
1,-0.2632,0.00,0.000
2,-0.2540,-0.10,0.000
3,-0.2812,-0.16,0.000
4,-0.2708,-0.02,0.000
5,-0.1896,0.59,0.046
6,-0.2735,-0.06,0.000
7,-0.2555,0.07,0.000
8,-0.2871,-0.01,0.000
9,-0.1776,0.75,0.264
10,-0.1942,0.52,0.000
11,-0.1950,0.02,0.339
12,-0.2885,-0.26,0.000
13,-0.2772,-0.11,0.000
14,-0.2440,0.08,0.000
15,-0.2133,0.69,0.000
16,-0.2091,0.75,0.168
17,-0.2782,-1.32,0.000
18,-0.3048,-0.79,0.000
19,-0.4977,-1.03,0.383
20,-0.3562,0.77,0.000